Run one
The following is a DFT calculation (PBE+U) of crystalline CaTb4Al2Fe2O12 at its relaxed geometry.

Computed properties:
size of the total moment	8.00	μB per cell
DOS(E_F)	0.000	states/eV/atom

Cell: 6.1654 6.2413 7.0630 Å, 90.67 94.59 91.69°
Last column: magnetic moment on the atom in μB.
Atoms (fractional coordinates):
Fe1 0.9892 0.4647 0.9741  3.72
Fe2 0.5418 0.0122 0.5166  3.77
O1 0.8263 0.8032 0.5653  0.03
O2 0.6440 0.3626 0.5271  0.02
O3 0.4309 0.9709 0.7848  0.03
O4 0.8218 0.8884 0.9869  0.01
O5 0.2991 0.6311 0.0337  0.03
O6 0.9700 0.5387 0.2842  0.02
O7 0.1527 0.1847 0.0350  0.04
O8 0.1868 0.1113 0.4562  0.03
O9 0.3782 0.6975 0.4381  0.03
O10 0.6675 0.3667 0.9511  0.03
O11 0.0945 0.4397 0.6961  0.03
O12 0.5185 0.0443 0.2157  0.03
Tb1 0.0659 0.0565 0.7374  -0.01
Tb2 0.4523 0.5895 0.7431  0.00
Tb3 0.3146 0.3643 0.2915  0.00
Tb4 0.1442 0.8781 0.2157  0.01
Al1 0.6073 0.0864 0.9825  0.01
Al2 0.8900 0.5263 0.5237  0.01
Ca1 0.6415 0.6972 0.2018  0.00

Run two
The following is a DFT calculation (PBE+U) of crystalline CaTb4Al2Fe2O12 at its relaxed geometry.

Computed properties:
size of the total moment	8.05	μB per cell
DOS(E_F)	0.000	states/eV/atom

Cell: 5.7305 6.1746 7.3276 Å, 90.26 88.72 82.54°
Last column: magnetic moment on the atom in μB.
Atoms (fractional coordinates):
O1 0.3080 0.3113 0.0499  0.04
O2 0.5464 0.9587 0.2513  0.03
O3 0.8636 0.2221 0.5770  0.04
O4 0.7841 0.0971 0.9539  0.02
O5 0.4123 0.0617 0.7430  0.04
O6 0.2947 0.3759 0.4552  0.01
O7 0.6517 0.6071 0.9611  0.05
O8 0.0816 0.8000 0.4265  0.01
O9 0.6546 0.6560 0.5414  0.05
O10 0.2307 0.8784 0.0375  0.01
O11 0.8827 0.4436 0.2613  0.03
O12 0.0868 0.5700 0.7475  0.04
Al1 0.4796 0.0367 0.9962  0.01
Al2 0.9680 0.5239 0.5092  0.01
Fe1 0.9592 0.3873 0.9562  3.75
Fe2 0.6226 0.9853 0.5218  3.73
Tb1 0.0621 0.9410 0.7439  0.00
Tb2 0.1407 0.1338 0.3036  -0.01
Tb3 0.4652 0.5814 0.2469  0.01
Tb4 0.4826 0.4326 0.7381  0.00
Ca1 0.8979 0.7817 0.1391  0.00

Pick the most stable structure from those above. Pick: run one